## LiSiBiO4 (GGA-PBEsol)

Data for an optimized crystal structure of LiSiBiO4.

extended XYZ file:
```
28
Lattice="-1.653 -5.478 -0.413 5.967 -1.899 1.306 -1.955 0.647 9.876" Properties=species:S:1:pos:R:3 pbc="T T T"
Si 0.172 -3.416 3.753
O 2.710 -4.579 6.049
O 3.624 -5.286 1.206
Si 2.975 -6.580 2.011
O -0.379 -3.057 2.253
O 1.797 -6.389 3.133
O 2.563 -6.667 8.856
O 0.567 -3.299 7.208
O 1.792 -3.432 3.561
O -0.204 -0.063 1.913
Li -0.360 -3.755 0.441
O 2.738 -3.674 8.516
Bi 0.916 -5.223 9.010
O -0.370 -4.744 4.582
Si -0.616 -0.150 8.758
Bi 3.753 -3.136 4.505
O 2.729 -1.987 6.187
Li 2.719 -2.976 10.328
Li 1.507 -5.604 4.885
O -1.550 -4.760 9.584
Si 2.187 -3.315 7.016
O -1.266 -1.444 9.563
O 0.562 -0.342 7.636
O 3.909 -1.970 1.185
Li 0.851 -1.126 5.884
Bi 1.443 -1.508 1.758
Bi -1.394 -3.595 6.264
O -0.351 -2.152 4.720
```

Results
**Final energy**: -6.7875 eV/atom
**Relative energy among the computed polymorphs**: 67 meV/atom
**Formation energy (no corrections)**: -2.07 eV/atom
**Spin magnetization**: 0.0 Bohr magnetons per cell

---

## LiSiBiO4 (GGA-PBEsol)

Data for an optimized crystal structure of LiSiBiO4.

extended XYZ file:
```
42
Lattice="-8.013 -1.504 -2.518 3.066 -7.837 1.411 -1.021 3.105 7.882" Properties=species:S:1:pos:R:3 pbc="T T T"
O -4.863 -3.940 -0.760
O 1.326 -3.182 6.734
O -1.105 -2.296 7.535
Li -3.580 -0.378 0.430
Bi -3.153 -3.774 0.744
O -7.294 -3.055 0.042
Bi -0.295 -3.131 3.853
O -6.554 1.000 3.642
Li -0.181 -0.169 3.617
Bi -2.815 -2.463 6.032
O 1.838 -5.643 1.407
O -2.317 -7.401 1.769
O -3.329 -6.760 -0.661
O -4.729 -2.233 4.596
Si 1.664 -6.039 3.018
Bi -3.599 -0.459 3.403
O -4.865 -8.082 1.067
Li -5.787 -6.068 3.158
Bi -5.673 -3.106 2.922
Li -2.388 -5.858 6.345
Si 0.189 -3.202 7.881
O -7.807 -0.593 5.368
O -3.651 1.165 5.007
O -2.639 0.524 7.436
Li -5.768 -2.645 6.326
Si -3.298 -7.824 0.555
O -4.152 -4.941 2.612
O -5.754 -1.446 -1.418
O 1.310 -4.752 3.931
O -2.016 -4.213 5.164
O 0.586 -7.237 3.134
O -0.214 -4.790 8.193
O -1.104 1.845 5.708
Si -2.670 1.588 6.221
Li -0.200 -3.592 0.450
Si -6.158 -3.035 -1.106
Si -7.632 -0.197 3.757
O -1.816 -1.295 4.163
O -7.279 -1.484 2.844
O -3.952 -2.023 1.612
Bi -2.370 -5.777 3.373
O -1.239 -4.003 2.179
```

Results
**Final energy**: -6.8047 eV/atom
**Relative energy among the computed polymorphs**: 50 meV/atom
**Formation energy (no corrections)**: -2.09 eV/atom
**Spin magnetization**: 0.0 Bohr magnetons per cell

---

## LiSiBiO4 (GGA-PBEsol)

Data for an optimized crystal structure of LiSiBiO4.

extended XYZ file:
```
56
Lattice="-4.504 1.986 6.403 0.795 -9.361 3.463 6.768 6.899 2.620" Properties=species:S:1:pos:R:3 pbc="T T T"
O 1.922 -4.582 5.930
Si -2.106 -0.904 5.692
O 5.147 1.632 5.640
Bi 3.797 -1.475 3.221
O -0.825 0.079 5.839
O 2.324 2.561 6.388
Si -0.890 -5.590 8.002
Bi 3.904 -5.860 4.657
Si 1.508 0.530 2.696
O 5.993 4.321 4.226
Li 3.846 -1.965 6.376
O -0.339 2.959 4.045
O 0.639 -1.048 8.394
Si 4.609 4.823 3.546
O 2.585 -3.853 3.468
O 1.604 1.928 1.881
Li -1.242 1.690 6.757
Li 3.476 2.053 4.751
Bi -4.315 1.903 6.134
O 2.438 0.564 4.066
O 0.598 4.344 7.323
Li 3.055 1.488 9.842
O 2.420 3.193 8.962
O 5.012 -3.020 7.504
O 4.942 -1.022 5.144
Bi 0.534 -4.434 1.844
O 3.395 3.719 3.760
Li 0.902 -6.304 5.651
O 2.512 -2.870 9.102
O 5.554 -4.386 5.375
O 3.113 -0.699 7.608
O -2.391 2.737 5.605
O -0.317 -4.203 8.700
Si 5.826 0.137 5.855
Li 1.702 6.029 7.482
Bi 1.325 4.428 4.745
O 2.103 -0.728 1.812
Si 1.655 -3.443 4.790
O -1.877 -5.263 6.757
O -0.632 -7.128 4.808
O -0.056 0.103 2.970
Li -0.450 -1.763 3.291
O 4.658 5.220 6.858
Si 2.211 -1.297 8.851
O 2.150 -1.964 5.278
O -2.070 -2.116 6.820
Bi -2.063 0.910 2.933
O 0.370 1.726 7.975
O 0.100 -3.431 4.291
O 0.558 -6.647 2.562
O 3.253 6.845 8.300
Li -0.767 -2.374 8.234
O 2.678 -0.386 10.138
Si 1.394 2.971 7.710
Bi 1.432 0.042 6.181
Bi 4.695 3.002 7.558
```

Results
**Final energy**: -6.8272 eV/atom
**Relative energy among the computed polymorphs**: 27 meV/atom
**Formation energy (no corrections)**: -2.11 eV/atom
**Spin magnetization**: 0.0 Bohr magnetons per cell

---

## LiSiBiO4 (GGA-PBEsol)

Data for an optimized crystal structure of LiSiBiO4.

extended XYZ file:
```
28
Lattice="5.305 0.000 0.000 0.000 8.635 0.173 0.000 -2.475 8.337" Properties=species:S:1:pos:R:3 pbc="T T T"
O 3.673 2.713 7.469
O 1.354 -1.630 7.297
O 1.030 1.067 7.553
Si 4.236 4.258 7.321
O 4.019 7.606 0.379
O 2.013 1.227 4.301
O 4.717 5.566 3.005
Bi 0.806 8.178 0.878
Li 1.772 5.683 6.236
Si 3.594 0.955 4.033
O 4.303 0.546 5.461
Si 1.070 5.496 3.153
O 1.856 6.136 1.886
O 3.449 4.898 6.054
Li 4.445 0.929 7.276
Bi 3.455 3.781 2.032
Bi 4.500 6.940 5.046
Li 3.533 6.921 2.067
O 1.286 6.368 4.547
Li 0.861 2.166 3.107
O 0.588 4.329 7.173
O 1.002 1.783 1.293
Bi 1.851 2.543 6.200
O 1.633 3.951 3.301
O 4.276 2.305 3.384
O 3.293 2.464 0.133
Si 1.711 -0.282 8.201
O 3.951 -0.393 3.128
```

Results
**Final energy**: -6.7708 eV/atom
**Relative energy among the computed polymorphs**: 83 meV/atom
**Formation energy (no corrections)**: -2.06 eV/atom
**Spin magnetization**: 0.0 Bohr magnetons per cell